No. 1
First-principles (PBE) data for crystalline PbSO3 at its relaxed geometry, as listed in the Alexandria database.

a = 8.0452 Å, b = 5.5766 Å, c = 6.9120 Å
α = 90.00°, β = 90.00°, γ = 90.00°
Fractional positions:
Pb (0.1835, 0.2500, 0.1430)
Pb (0.3165, 0.7500, 0.6430)
Pb (0.6835, 0.2500, 0.3570)
Pb (0.8165, 0.7500, 0.8570)
S (0.0345, 0.2500, 0.6488)
S (0.4655, 0.7500, 0.1488)
S (0.5345, 0.2500, 0.8512)
S (0.9655, 0.7500, 0.3512)
O (0.0623, 0.0306, 0.7840)
O (0.0623, 0.4694, 0.7840)
O (0.1874, 0.2500, 0.5157)
O (0.3126, 0.7500, 0.0157)
O (0.4377, 0.5306, 0.2840)
O (0.4377, 0.9694, 0.2840)
O (0.5623, 0.0306, 0.7160)
O (0.5623, 0.4694, 0.7160)
O (0.6874, 0.2500, 0.9843)
O (0.8126, 0.7500, 0.4843)
O (0.9377, 0.5306, 0.2160)
O (0.9377, 0.9694, 0.2160)

- formation energy without anion corrections (eV per atom) = -1.297
- D(E_F) (states/eV/cell) = 0.00

---

No. 2
First-principles (PBE) data for crystalline PbS2O6 at its relaxed geometry, as listed in the Alexandria database.

a = 6.2758 Å, b = 6.2758 Å, c = 5.6338 Å
α = 90.00°, β = 90.00°, γ = 120.00°
Fractional positions:
Pb (0.0000, 0.0000, 0.0000)
S (0.3333, 0.6667, 0.8334)
S (0.6667, 0.3333, 0.1666)
O (0.2013, 0.4027, 0.7609)
O (0.2013, 0.7987, 0.7609)
O (0.4027, 0.2013, 0.2391)
O (0.5973, 0.7987, 0.7609)
O (0.7987, 0.2013, 0.2391)
O (0.7987, 0.5973, 0.2391)

- formation energy without anion corrections (eV per atom) = -1.055
- excess energy over the best structure of this formula in the dataset (eV/atom) = 0.1929

---

No. 3
First-principles (PBE) data for crystalline Pb2SO at its relaxed geometry, as listed in the Alexandria database.

a = 4.0186 Å, b = 4.0186 Å, c = 7.9379 Å
α = 90.00°, β = 90.00°, γ = 120.00°
Fractional positions:
Pb (0.0000, 0.0000, 0.0000)
Pb (0.3333, 0.6667, 0.4377)
S (0.0000, 0.0000, 0.6266)
O (0.3333, 0.6667, 0.0952)

- formation energy without anion corrections (eV per atom) = -0.622
- excess energy over the best structure of this formula in the dataset (eV/atom) = 0.0691

---

No. 4
First-principles (PBE) data for crystalline Pb2SO at its relaxed geometry, as listed in the Alexandria database.

a = 3.9648 Å, b = 3.9648 Å, c = 19.5811 Å
α = 90.00°, β = 90.00°, γ = 120.00°
Fractional positions:
Pb (0.0000, 0.0000, 0.2383)
Pb (0.0000, 0.0000, 0.7617)
Pb (0.3333, 0.6667, 0.4284)
Pb (0.3333, 0.6667, 0.9050)
Pb (0.6667, 0.3333, 0.0950)
Pb (0.6667, 0.3333, 0.5716)
S (0.0000, 0.0000, 0.0000)
S (0.3333, 0.6667, 0.6667)
S (0.6667, 0.3333, 0.3333)
O (0.0000, 0.0000, 0.5000)
O (0.3333, 0.6667, 0.1667)
O (0.6667, 0.3333, 0.8333)

- formation energy without anion corrections (eV per atom) = -0.691
- excess energy over the best structure of this formula in the dataset (eV/atom) = 0.0000
- D(E_F) (states/eV/cell) = 0.48

---

No. 5
First-principles (PBE) data for crystalline PbS2O at its relaxed geometry, as listed in the Alexandria database.

a = 4.2146 Å, b = 4.2146 Å, c = 19.9017 Å
α = 90.00°, β = 90.00°, γ = 120.00°
Fractional positions:
Pb (0.0000, 0.0000, 0.0000)
Pb (0.3333, 0.6667, 0.6667)
Pb (0.6667, 0.3333, 0.3333)
S (0.0000, 0.0000, 0.4142)
S (0.0000, 0.0000, 0.5858)
S (0.3333, 0.6667, 0.0809)
S (0.3333, 0.6667, 0.2524)
S (0.6667, 0.3333, 0.7476)
S (0.6667, 0.3333, 0.9191)
O (0.0000, 0.0000, 0.5000)
O (0.3333, 0.6667, 0.1667)
O (0.6667, 0.3333, 0.8333)

- formation energy without anion corrections (eV per atom) = 0.074
- excess energy over the best structure of this formula in the dataset (eV/atom) = 0.0000
- D(E_F) (states/eV/cell) = 0.90

---

No. 6
First-principles (PBE) data for crystalline PbS2O at its relaxed geometry, as listed in the Alexandria database.

a = 5.6344 Å, b = 5.6344 Å, c = 10.6986 Å
α = 90.00°, β = 90.00°, γ = 90.00°
Fractional positions:
Pb (0.0000, 0.0000, 0.0000)
Pb (0.0000, 0.5000, 0.2500)
Pb (0.5000, 0.0000, 0.7500)
Pb (0.5000, 0.5000, 0.5000)
S (0.0584, 0.2500, 0.6250)
S (0.2500, 0.5584, 0.8750)
S (0.2500, 0.9416, 0.3750)
S (0.4416, 0.2500, 0.1250)
S (0.5584, 0.7500, 0.1250)
S (0.7500, 0.0584, 0.3750)
S (0.7500, 0.4416, 0.8750)
S (0.9416, 0.7500, 0.6250)
O (0.0000, 0.0000, 0.5000)
O (0.0000, 0.5000, 0.7500)
O (0.5000, 0.0000, 0.2500)
O (0.5000, 0.5000, 0.0000)

- formation energy without anion corrections (eV per atom) = 0.198
- excess energy over the best structure of this formula in the dataset (eV/atom) = 0.1239
- D(E_F) (states/eV/cell) = 3.88

---

Number 1: VASP energy -116.78 eV/cell. Number 2: VASP energy -51.21 eV/cell. Number 3: VASP energy -18.99 eV/cell. Number 4: VASP energy -57.80 eV/cell. Number 5: VASP energy -49.87 eV/cell. Number 6: VASP energy -64.51 eV/cell.